(1)
{"formula": "RbPuSc", "functional": "GGA-PBE", "state": "relaxed", "lattice": [[0.000, 4.119, 4.119], [4.119, 0.000, 4.119], [4.119, 4.119, 0.000]], "species": ["Rb", "Pu", "Sc"], "frac_coords": [[0.000, 0.000, 0.000], [0.500, 0.500, 0.500], [0.750, 0.750, 0.750]], "relative_energy_mev_per_atom": 0, "sg": "F-43m", "total_magnetization_mub_per_fu": 8.8}

(2)
{"formula": "TbSmSb", "functional": "GGA-PBE", "state": "relaxed", "lattice": [[0.000, 3.629, 3.629], [3.629, 0.000, 3.629], [3.629, 3.629, 0.000]], "species": ["Tb", "Sm", "Sb"], "frac_coords": [[0.000, 0.000, 0.000], [0.500, 0.500, 0.500], [0.750, 0.750, 0.750]], "relative_energy_mev_per_atom": 0, "sg": "F-43m", "total_magnetization_mub_per_fu": 0.0}

(3)
{"formula": "PrAlSnTe3", "functional": "GGA-PBE", "state": "relaxed", "lattice": [[2.232, -7.295, 0.000], [2.232, 7.295, 0.000], [0.000, 0.000, 11.401]], "species": ["Pr", "Pr", "Al", "Al", "Sn", "Sn", "Te", "Te", "Te", "Te", "Te", "Te"], "frac_coords": [[0.000, 0.000, 0.000], [0.000, 0.000, 0.500], [0.476, 0.524, 0.750], [0.524, 0.476, 0.250], [0.201, 0.799, 0.250], [0.799, 0.201, 0.750], [0.100, 0.900, 0.750], [0.349, 0.651, 0.562], [0.349, 0.651, 0.938], [0.651, 0.349, 0.062], [0.651, 0.349, 0.438], [0.900, 0.100, 0.250]], "sg": "Cmcm", "total_energy_ev_per_fu": -25.241, "total_magnetization_mub_per_fu": 0.0}

(4)
{"formula": "Sr2LiIrN6", "functional": "GGA-PBE", "state": "relaxed", "lattice": [[4.855, -2.669, 0.000], [4.855, 2.669, 0.000], [-3.376, 0.000, 4.703]], "species": ["Sr", "Sr", "Li", "Ir", "N", "N", "N", "N", "N", "N"], "frac_coords": [[0.243, 0.243, 0.241], [0.757, 0.757, 0.759], [0.500, 0.500, 0.000], [0.000, 0.000, 0.500], [0.247, 0.247, 0.751], [0.255, 0.739, 0.740], [0.261, 0.745, 0.260], [0.739, 0.255, 0.740], [0.745, 0.261, 0.260], [0.753, 0.753, 0.249]], "relative_energy_mev_per_atom": 2, "sg": "C2/m", "total_magnetization_mub_per_fu": 0.2}

(5)
{"formula": "TbNiIr", "functional": "GGA-PBE", "state": "relaxed", "lattice": [[0.000, 3.051, 3.051], [3.051, 0.000, 3.051], [3.051, 3.051, 0.000]], "species": ["Tb", "Ni", "Ir"], "frac_coords": [[0.000, 0.000, 0.000], [0.750, 0.750, 0.750], [0.500, 0.500, 0.500]], "sg": "F-43m", "formation_energy_ev_per_fu": -0.5, "total_magnetization_mub_per_fu": 0.4}

(6)
{"formula": "KScBAu", "functional": "GGA-PBE", "state": "relaxed", "lattice": [[0.000, 3.276, 3.276], [3.276, 0.000, 3.276], [3.276, 3.276, 0.000]], "species": ["K", "Sc", "B", "Au"], "frac_coords": [[0.000, 0.000, 0.000], [0.250, 0.250, 0.250], [0.750, 0.750, 0.750], [0.500, 0.500, 0.500]], "relative_energy_mev_per_atom": 0, "sg": "F-43m", "total_magnetization_mub_per_fu": 0.0}

(7)
{"formula": "CsAgF3", "functional": "GGA-PBE", "state": "relaxed", "lattice": [[4.576, 0.000, 0.000], [0.000, 6.610, 0.000], [0.000, 0.000, 11.580]], "species": ["Cs", "Cs", "Cs", "Cs", "Ag", "Ag", "Ag", "Ag", "F", "F", "F", "F", "F", "F", "F", "F", "F", "F", "F", "F"], "frac_coords": [[0.249, 0.250, 0.100], [0.251, 0.750, 0.600], [0.749, 0.250, 0.400], [0.751, 0.750, 0.900], [0.248, 0.750, 0.334], [0.252, 0.250, 0.834], [0.748, 0.750, 0.166], [0.752, 0.250, 0.666], [0.249, 0.049, 0.338], [0.249, 0.451, 0.338], [0.249, 0.750, 0.122], [0.251, 0.250, 0.622], [0.251, 0.549, 0.838], [0.251, 0.951, 0.838], [0.749, 0.049, 0.162], [0.749, 0.451, 0.162], [0.749, 0.750, 0.378], [0.751, 0.250, 0.878], [0.751, 0.549, 0.662], [0.751, 0.951, 0.662]], "sg": "Pnma", "total_energy_ev_per_fu": -17.617}

(8)
{"formula": "Zn2TcBi", "functional": "GGA-PBE", "state": "relaxed", "lattice": [[0.000, 3.309, 3.309], [3.309, 0.000, 3.309], [3.309, 3.309, 0.000]], "species": ["Zn", "Zn", "Tc", "Bi"], "frac_coords": [[0.000, 0.000, 0.000], [0.250, 0.250, 0.250], [0.750, 0.750, 0.750], [0.500, 0.500, 0.500]], "sg": "F-43m", "total_energy_ev_per_fu": -14.679, "total_magnetization_mub_per_fu": 0.0}

(9)
{"formula": "CsTmPdF5", "functional": "GGA-PBE", "state": "relaxed", "lattice": [[-3.082, 4.025, 5.363], [3.082, -4.025, 5.363], [3.082, 4.025, -5.363]], "species": ["Cs", "Cs", "Tm", "Tm", "Pd", "Pd", "F", "F", "F", "F", "F", "F", "F", "F", "F", "F"], "frac_coords": [[0.370, 0.120, 0.250], [0.630, 0.880, 0.750], [0.000, 0.500, 0.500], [0.500, 0.500, 0.000], [0.000, 0.000, 0.500], [0.000, 0.500, 0.000], [0.067, 0.353, 0.186], [0.067, 0.881, 0.713], [0.329, 0.579, 0.750], [0.332, 0.119, 0.686], [0.332, 0.647, 0.213], [0.668, 0.353, 0.787], [0.668, 0.881, 0.314], [0.671, 0.421, 0.250], [0.933, 0.119, 0.287], [0.933, 0.647, 0.814]], "sg": "Imma", "total_energy_ev_per_fu": -42.384, "total_magnetization_mub_per_fu": 1.0}

(10)
{"formula": "SbPdNO", "functional": "GGA-PBE", "state": "relaxed", "lattice": [[4.773, 0.000, 0.000], [0.000, 4.773, 0.000], [0.000, 0.000, 4.537]], "species": ["Sb", "Sb", "Pd", "Pd", "N", "N", "O", "O"], "frac_coords": [[0.250, 0.750, 0.000], [0.750, 0.250, 0.000], [0.250, 0.250, 0.494], [0.750, 0.750, 0.506], [0.250, 0.250, 0.992], [0.750, 0.750, 0.008], [0.250, 0.750, 0.500], [0.750, 0.250, 0.500]], "relative_energy_mev_per_atom": 358, "sg": "P4/nmm"}

(11)
{"formula": "AcTaO3", "functional": "GGA-PBE", "state": "relaxed", "lattice": [[4.081, 0.000, 0.000], [0.000, 4.081, 0.000], [0.000, 0.000, 4.081]], "species": ["Ac", "Ta", "O", "O", "O"], "frac_coords": [[0.000, 0.000, 0.000], [0.500, 0.500, 0.500], [0.000, 0.500, 0.500], [0.500, 0.000, 0.500], [0.500, 0.500, 0.000]], "sg": "Pm-3m", "total_energy_ev_per_fu": -44.218, "total_magnetization_mub_per_fu": 0.0}

(12)
{"formula": "BeNiGePt", "functional": "GGA-PBE", "state": "relaxed", "lattice": [[0.000, 2.941, 2.941], [2.941, 0.000, 2.941], [2.941, 2.941, 0.000]], "species": ["Be", "Ni", "Ge", "Pt"], "frac_coords": [[0.000, 0.000, 0.000], [0.500, 0.500, 0.500], [0.250, 0.250, 0.250], [0.750, 0.750, 0.750]], "relative_energy_mev_per_atom": 182, "sg": "F-43m", "total_magnetization_mub_per_fu": 0.0}

(13)
{"formula": "Pr6TeO12", "functional": "GGA-PBE", "state": "relaxed", "lattice": [[5.118, 2.955, 3.260], [-5.118, 2.955, 3.260], [0.000, -5.910, 3.260]], "species": ["Pr", "Pr", "Pr", "Pr", "Pr", "Pr", "Te", "O", "O", "O", "O", "O", "O", "O", "O", "O", "O", "O", "O"], "frac_coords": [[0.109, 0.808, 0.645], [0.192, 0.355, 0.891], [0.355, 0.891, 0.192], [0.645, 0.109, 0.808], [0.808, 0.645, 0.109], [0.891, 0.192, 0.355], [0.500, 0.500, 0.500], [0.059, 0.907, 0.322], [0.093, 0.678, 0.941], [0.212, 0.433, 0.530], [0.322, 0.059, 0.907], [0.433, 0.530, 0.212], [0.470, 0.788, 0.567], [0.530, 0.212, 0.433], [0.567, 0.470, 0.788], [0.678, 0.941, 0.093], [0.788, 0.567, 0.470], [0.907, 0.322, 0.059], [0.941, 0.093, 0.678]], "sg": "R-3", "total_energy_ev_per_fu": -147.005, "total_magnetization_mub_per_fu": 0.0}

(14)
{"formula": "NiBiMoPd", "functional": "GGA-PBE", "state": "relaxed", "lattice": [[0.000, 3.258, 3.258], [3.258, 0.000, 3.258], [3.258, 3.258, 0.000]], "species": ["Ni", "Bi", "Mo", "Pd"], "frac_coords": [[0.000, 0.000, 0.000], [0.750, 0.750, 0.750], [0.250, 0.250, 0.250], [0.500, 0.500, 0.500]], "relative_energy_mev_per_atom": 59, "sg": "F-43m", "total_magnetization_mub_per_fu": 2.3}

(15)
{"formula": "NaTbTe3As", "functional": "GGA-PBE", "state": "relaxed", "lattice": [[2.171, -7.694, 0.000], [2.171, 7.694, 0.000], [0.000, 0.000, 10.856]], "species": ["Na", "Na", "Tb", "Tb", "Te", "Te", "Te", "Te", "Te", "Te", "As", "As"], "frac_coords": [[0.228, 0.772, 0.750], [0.772, 0.228, 0.250], [0.000, 0.000, 0.000], [0.000, 0.000, 0.500], [0.113, 0.887, 0.250], [0.358, 0.642, 0.048], [0.358, 0.642, 0.452], [0.642, 0.358, 0.548], [0.642, 0.358, 0.952], [0.887, 0.113, 0.750], [0.465, 0.535, 0.250], [0.535, 0.465, 0.750]], "sg": "Cmcm", "total_energy_ev_per_fu": -23.921, "total_magnetization_mub_per_fu": 0.0}

(16)
{"formula": "DyTmCS", "functional": "GGA-PBE", "state": "relaxed", "lattice": [[3.674, 0.000, 0.000], [-1.837, 3.182, 0.000], [0.000, 0.000, 12.792]], "species": ["Dy", "Dy", "Tm", "Tm", "C", "C", "S", "S"], "frac_coords": [[0.000, 0.000, 0.148], [0.000, 0.000, 0.852], [0.667, 0.333, 0.355], [0.667, 0.333, 0.645], [0.333, 0.667, 0.253], [0.333, 0.667, 0.747], [0.000, 0.000, 0.500], [0.667, 0.333, 0.000]], "sg": "P-6m2", "total_energy_ev_per_fu": -27.546, "total_magnetization_mub_per_fu": 0.0}

(17)
{"formula": "HoErInC", "functional": "GGA-PBE", "state": "relaxed", "lattice": [[3.574, 0.000, 0.000], [-1.787, 3.095, 0.000], [0.000, 0.000, 16.219]], "species": ["Ho", "Ho", "Er", "Er", "In", "In", "C", "C"], "frac_coords": [[0.333, 0.667, 0.083], [0.667, 0.333, 0.917], [0.333, 0.667, 0.418], [0.667, 0.333, 0.582], [0.333, 0.667, 0.749], [0.667, 0.333, 0.251], [0.000, 0.000, 0.000], [0.000, 0.000, 0.500]], "sg": "P-3m1", "total_energy_ev_per_fu": -22.756, "total_magnetization_mub_per_fu": 0.1}

(18)
{"formula": "Sc2CoN", "functional": "GGA-PBE", "state": "relaxed", "lattice": [[4.726, -2.725, 0.000], [4.726, 2.725, 0.000], [-3.288, 0.000, 12.852]], "species": ["Sc", "Sc", "Sc", "Sc", "Sc", "Sc", "Sc", "Sc", "Sc", "Sc", "Sc", "Sc", "Co", "Co", "Co", "Co", "Co", "Co", "N", "N", "N", "N", "N", "N"], "frac_coords": [[0.040, 0.876, 0.615], [0.124, 0.960, 0.885], [0.199, 0.363, 0.094], [0.298, 0.471, 0.406], [0.363, 0.199, 0.594], [0.471, 0.298, 0.906], [0.529, 0.702, 0.094], [0.637, 0.801, 0.406], [0.702, 0.529, 0.594], [0.801, 0.637, 0.906], [0.876, 0.040, 0.115], [0.960, 0.124, 0.385], [0.085, 0.405, 0.750], [0.405, 0.085, 0.250], [0.422, 0.578, 0.250], [0.578, 0.422, 0.750], [0.595, 0.915, 0.750], [0.915, 0.595, 0.250], [0.000, 0.500, 0.500], [0.162, 0.677, 0.000], [0.323, 0.838, 0.500], [0.500, 0.000, 0.000], [0.677, 0.162, 0.500], [0.838, 0.323, 0.000]], "sg": "C2/c", "total_energy_ev_per_fu": -31.780, "total_magnetization_mub_per_fu": 0.0}

(19)
{"formula": "GaFeReAu", "functional": "GGA-PBE", "state": "relaxed", "lattice": [[0.000, 3.099, 3.099], [3.099, 0.000, 3.099], [3.099, 3.099, 0.000]], "species": ["Ga", "Fe", "Re", "Au"], "frac_coords": [[0.000, 0.000, 0.000], [0.250, 0.250, 0.250], [0.750, 0.750, 0.750], [0.500, 0.500, 0.500]], "relative_energy_mev_per_atom": 0, "sg": "F-43m", "total_magnetization_mub_per_fu": 1.9}

(20)
{"formula": "OsPdO3", "functional": "GGA-PBE", "state": "relaxed", "lattice": [[2.629, 1.518, 4.929], [-2.629, 1.518, 4.929], [0.000, -3.036, 4.929]], "species": ["Os", "Os", "Pd", "Pd", "O", "O", "O", "O", "O", "O"], "frac_coords": [[0.158, 0.158, 0.158], [0.842, 0.842, 0.842], [0.362, 0.362, 0.362], [0.638, 0.638, 0.638], [0.053, 0.440, 0.789], [0.211, 0.947, 0.560], [0.440, 0.789, 0.053], [0.560, 0.211, 0.947], [0.789, 0.053, 0.440], [0.947, 0.560, 0.211]], "sg": "R-3", "total_energy_ev_per_fu": -33.679, "total_magnetization_mub_per_fu": 0.0}

(21)
{"formula": "HoBiBr2O2", "functional": "GGA-PBE", "state": "relaxed", "lattice": [[3.863, 0.000, 0.000], [0.000, 3.863, 0.000], [0.000, 0.000, 8.455]], "species": ["Ho", "Bi", "Br", "Br", "O", "O"], "frac_coords": [[0.000, 0.000, 0.000], [0.500, 0.500, 0.715], [0.000, 0.000, 0.521], [0.500, 0.500, 0.188], [0.000, 0.500, 0.867], [0.500, 0.000, 0.867]], "sg": "P4mm", "total_energy_ev_per_fu": -33.969, "total_magnetization_mub_per_fu": 0.0}

(22)
{"formula": "LaGaNiPd", "functional": "GGA-PBE", "state": "relaxed", "lattice": [[4.343, 0.000, 0.000], [-2.171, 3.761, 0.000], [0.000, 0.000, 9.666]], "species": ["La", "La", "Ga", "Ga", "Ni", "Ni", "Pd", "Pd"], "frac_coords": [[0.000, 0.000, 0.000], [0.333, 0.667, 0.500], [0.667, 0.333, 0.264], [0.667, 0.333, 0.736], [0.000, 0.000, 0.305], [0.000, 0.000, 0.695], [0.333, 0.667, 0.186], [0.333, 0.667, 0.814]], "relative_energy_mev_per_atom": 6, "sg": "P-6m2", "total_magnetization_mub_per_fu": 0.0}

(23)
{"formula": "BaPPdO", "functional": "GGA-PBE", "state": "relaxed", "lattice": [[4.989, 0.000, 0.000], [0.000, 4.989, 0.000], [0.000, 0.000, 6.744]], "species": ["Ba", "Ba", "P", "P", "Pd", "Pd", "O", "O"], "frac_coords": [[0.250, 0.750, 0.000], [0.750, 0.250, 0.000], [0.250, 0.250, 0.230], [0.750, 0.750, 0.770], [0.250, 0.250, 0.553], [0.750, 0.750, 0.447], [0.250, 0.750, 0.500], [0.750, 0.250, 0.500]], "relative_energy_mev_per_atom": 1398, "sg": "P4/nmm"}

(24)
{"formula": "ReB4", "functional": "GGA-PBE", "state": "relaxed", "lattice": [[-1.499, 2.476, 2.839], [1.499, -2.476, 2.839], [1.499, 2.476, -2.839]], "species": ["Re", "B", "B", "B", "B"], "frac_coords": [[0.000, 0.000, 0.000], [0.151, 0.345, 0.806], [0.461, 0.655, 0.806], [0.539, 0.345, 0.194], [0.849, 0.655, 0.194]], "relative_energy_mev_per_atom": 0, "sg": "Immm", "total_magnetization_mub_per_fu": 0.0}